Record 1
CsCuBiO2, optimized geometry, DFT PBE; E_tot = -0.3335 Ry per atom
1.0
4.444 0.000 0.000
0.000 6.950 0.191
0.000 -1.904 7.369
Cs Cu Bi O
2 2 2 4
Direct
0.176 0.500 0.750
0.824 0.500 0.250
0.000 0.000 0.000
0.000 0.000 0.500
0.485 0.000 0.250
0.515 0.000 0.750
0.700 0.808 0.962
0.700 0.192 0.538
0.300 0.808 0.462
0.300 0.192 0.038

Record 2
CsCuBiO4, optimized geometry, DFT PBE; E_tot = -0.3645 Ry per atom
1.0
-2.505 0.266 5.294
0.918 -5.835 0.727
8.564 1.248 -0.798
Cs Cu Bi O
2 2 2 8
Direct
0.617 0.750 0.911
0.383 0.250 0.089
0.219 0.750 0.329
0.781 0.250 0.671
0.807 0.750 0.468
0.193 0.250 0.532
0.025 0.478 0.664
0.975 0.978 0.336
0.975 0.522 0.336
0.025 0.022 0.664
0.426 0.750 0.222
0.574 0.250 0.778
0.520 0.750 0.555
0.480 0.250 0.445

Record 3
Cs2Cu2BiO6, optimized geometry, DFT PBE; E_tot = -0.3548 Ry per atom
1.0
6.079 0.000 0.000
3.040 5.265 0.000
3.040 1.755 6.595
Cs Cu Bi O
2 2 1 6
Direct
0.789 0.789 0.633
0.211 0.211 0.367
0.394 0.394 0.818
0.606 0.606 0.182
0.000 0.000 0.000
0.769 0.769 0.208
0.254 0.769 0.208
0.769 0.254 0.208
0.231 0.746 0.792
0.746 0.231 0.792
0.231 0.231 0.792

Record 4
CsCuBi2P, optimized geometry, DFT PBE; DFT formation energy = 0.64 eV per atom
1.0
5.373 0.000 0.000
0.000 6.834 0.000
0.000 0.000 5.373
Cs P Bi Cu
1 1 2 1
Direct
0.000 0.500 0.000
0.000 0.000 0.000
0.000 0.000 0.500
0.500 0.000 0.000
0.500 0.500 0.500

Record 5
CsCu2BiPb, optimized geometry, DFT PBE; DFT formation energy = 0.46 eV per atom
1.0
-1.274 2.489 -4.430
-5.909 0.573 2.021
1.207 4.584 2.229
Pb Cs Bi Cu
1 1 1 2
Direct
0.000 0.000 0.000
0.500 0.500 0.500
0.000 0.500 0.000
0.000 0.000 0.500
0.500 0.000 0.000

Record 6
CsCuBi2Pd, optimized geometry, DFT PBE; DFT formation energy = 0.48 eV per atom
1.0
5.361 0.000 0.000
0.000 6.412 0.000
0.000 0.000 5.361
Cs Cu Bi Pd
1 1 2 1
Direct
0.000 0.500 0.000
0.500 0.500 0.500
0.000 0.000 0.500
0.500 0.000 0.000
0.000 0.000 0.000

Record 7
CsCuBiS3, optimized geometry, DFT PBE; E_tot = -0.3005 Ry per atom
1.0
-2.820 -2.903 0.470
6.950 -6.642 0.671
-1.840 3.240 8.970
Cs Cu Bi S
2 2 2 6
Direct
0.250 0.185 0.235
0.750 0.815 0.765
0.250 0.081 0.604
0.750 0.919 0.396
0.250 0.659 0.138
0.750 0.341 0.862
0.750 0.860 0.145
0.250 0.140 0.855
0.250 0.842 0.463
0.750 0.158 0.537
0.750 0.448 0.147
0.250 0.552 0.853

Record 8
CsCuBi2Se4, optimized geometry, DFT PBE; E_tot = -0.2842 Ry per atom
1.0
-3.862 1.831 -0.214
-1.106 -6.974 3.081
2.000 5.848 13.957
Cs Cu Bi Se
2 2 4 8
Direct
0.104 0.209 0.750
0.896 0.791 0.250
0.839 0.679 0.750
0.161 0.321 0.250
0.366 0.731 0.556
0.634 0.269 0.056
0.634 0.269 0.444
0.366 0.731 0.944
0.258 0.516 0.108
0.742 0.484 0.608
0.742 0.484 0.892
0.258 0.516 0.392
0.000 0.000 0.500
0.000 0.000 0.000
0.411 0.822 0.750
0.589 0.178 0.250

Record 9
CsCuBiTe2, optimized geometry, DFT PBE; E_tot = -0.2458 Ry per atom
1.0
-0.360 3.116 -4.874
6.266 -4.627 -3.422
-6.556 -4.700 -2.521
Cs Cu Bi Te
2 2 2 4
Direct
0.223 0.500 0.750
0.777 0.500 0.250
0.000 0.000 0.000
0.000 0.000 0.500
0.654 0.000 0.250
0.346 0.000 0.750
0.718 0.787 0.914
0.718 0.213 0.586
0.282 0.787 0.414
0.282 0.213 0.086

Record 10
CsCuBiTe3, optimized geometry, DFT PBE; E_tot = -0.2533 Ry per atom
1.0
-0.074 1.114 4.274
-8.378 -6.656 1.590
9.612 -4.555 1.354
Cs Cu Bi Te
2 2 2 6
Direct
0.250 0.213 0.232
0.750 0.787 0.768
0.250 0.076 0.574
0.750 0.924 0.426
0.250 0.675 0.144
0.750 0.325 0.856
0.750 0.889 0.167
0.250 0.111 0.833
0.250 0.813 0.476
0.750 0.187 0.524
0.750 0.478 0.170
0.250 0.522 0.830

Record 11
CsDyBi2, optimized geometry, DFT PBE; polymorph energy (0 for the lowest one) = 0.00 eV/f.u.; DFT formation energy = -0.49 eV per atom
1.0
-4.010 1.344 0.289
-1.225 -3.090 -2.632
-1.247 -5.144 6.620
Cs Bi Dy
1 2 1
Direct
0.500 0.500 0.500
0.000 0.000 0.818
0.000 0.000 0.182
0.500 0.500 0.000

Record 12
CsDyBi2, optimized geometry, DFT PBE; polymorph energy (0 for the lowest one) = 0.45 eV/f.u.; DFT formation energy = -0.38 eV per atom
1.0
-3.880 0.204 2.957
0.442 -1.255 4.698
0.786 7.725 4.528
Cs Bi Dy
1 2 1
Direct
0.500 0.500 0.500
0.277 0.277 0.168
0.723 0.723 0.832
0.000 0.000 0.000

no.,total magnetization (μB per atom)
1,0.00
2,0.16
3,0.27
4,0.00
5,0.00
6,0.00
7,0.00
8,0.00
9,0.00
10,0.00
11,0.00
12,0.00